{"formula": "Co2SiGe", "functional": "GGA-PBEsol", "state": "optimized geometry", "cell": [[4.4718, 0.0000, 0.0000], [0.0000, 4.4731, 0.0000], [-0.0417, 0.0000, 4.4821]], "species": ["Co", "Co", "Co", "Co", "Si", "Si", "Ge", "Ge"], "fractional_positions": [[0.1381, 0.0000, 0.3864], [0.3535, 0.2836, 0.8974], [0.6465, 0.7836, 0.1026], [0.8619, 0.5000, 0.6136], [0.1560, 0.8017, 0.9121], [0.8440, 0.3017, 0.0879], [0.3401, 0.4860, 0.4061], [0.6599, 0.9860, 0.5939]], "formation_energy_uncorrected_ev_per_fu": -1.985, "space_group": "P2_1", "density_g_cm3": 8.1, "dft_energy_ev_per_atom": -7.0363}